1.
Entry from Alexandria via LeMat-Bulk: an optimized crystal structure of Cr2TcCl (PBE).

- uncorrected formation energy (eV per atom) = 0.77
- E above lowest polymorph (meV/atom) = 603

Cell: 5.0404 7.8683 2.8369 Å, 90.00 108.42 90.00°
Sites, in units of the cell vectors:
1 Cr 0.2500 0.2500 0.0000
2 Cr 0.2500 0.7500 0.0000
3 Cr 0.7500 0.2500 0.0000
4 Cr 0.7500 0.7500 0.0000
5 Tc 0.0000 0.0000 0.5000
6 Tc 0.5000 0.5000 0.5000
7 Cl 0.0000 0.5000 0.5000
8 Cl 0.5000 0.0000 0.5000

2.
Entry from Alexandria via LeMat-Bulk: an optimized crystal structure of CrTc2Cl (PBE).

- uncorrected formation energy (eV per atom) = 0.97
- E above lowest polymorph (meV/atom) = 634

Cell: 3.6497 3.6497 8.6451 Å, 90.00 90.00 90.00°
Sites, in units of the cell vectors:
1 Cr 0.0000 0.0000 0.0000
2 Cr 0.5000 0.5000 0.5000
3 Tc 0.0000 0.0000 0.5000
4 Tc 0.0000 0.5000 0.7500
5 Tc 0.5000 0.0000 0.2500
6 Tc 0.5000 0.5000 0.0000
7 Cl 0.0000 0.5000 0.2500
8 Cl 0.5000 0.0000 0.7500

3.
Entry from Alexandria via LeMat-Bulk: an optimized crystal structure of Cr2TcCl (PBE).

- uncorrected formation energy (eV per atom) = 0.96
- E above lowest polymorph (meV/atom) = 792

Cell: 5.7949 5.7949 7.8629 Å, 90.00 90.00 90.00°
Sites, in units of the cell vectors:
1 Cr 0.2332 0.2500 0.1250
2 Cr 0.2500 0.7332 0.3750
3 Cr 0.2500 0.7668 0.8750
4 Cr 0.2668 0.2500 0.6250
5 Cr 0.7332 0.7500 0.6250
6 Cr 0.7500 0.2332 0.8750
7 Cr 0.7500 0.2668 0.3750
8 Cr 0.7668 0.7500 0.1250
9 Tc 0.0000 0.0000 0.5000
10 Tc 0.0000 0.5000 0.7500
11 Tc 0.5000 0.0000 0.2500
12 Tc 0.5000 0.5000 0.0000
13 Cl 0.0000 0.0000 0.0000
14 Cl 0.0000 0.5000 0.2500
15 Cl 0.5000 0.0000 0.7500
16 Cl 0.5000 0.5000 0.5000

4.
Entry from Alexandria via LeMat-Bulk: an optimized crystal structure of Cr2TcCl (PBE).

- uncorrected formation energy (eV per atom) = 0.79
- E above lowest polymorph (meV/atom) = 625

Cell: 3.5000 3.5000 9.7767 Å, 90.00 90.00 90.00°
Sites, in units of the cell vectors:
1 Cr 0.0000 0.0000 0.0000
2 Cr 0.0000 0.5000 0.2500
3 Cr 0.5000 0.0000 0.7500
4 Cr 0.5000 0.5000 0.5000
5 Tc 0.0000 0.5000 0.7500
6 Tc 0.5000 0.0000 0.2500
7 Cl 0.0000 0.0000 0.5000
8 Cl 0.5000 0.5000 0.0000

5.
Entry from Alexandria via LeMat-Bulk: an optimized crystal structure of CrTc2Cl (PBE).

- uncorrected formation energy (eV per atom) = 0.51
- E above lowest polymorph (meV/atom) = 180

Cell: 2.9637 4.7973 8.2840 Å, 90.00 90.00 90.00°
Sites, in units of the cell vectors:
1 Cr 0.0000 0.0000 0.0000
2 Cr 0.5000 0.5000 0.0000
3 Tc 0.0000 0.5000 0.2317
4 Tc 0.0000 0.5000 0.7683
5 Tc 0.5000 0.0000 0.2317
6 Tc 0.5000 0.0000 0.7683
7 Cl 0.0000 0.0000 0.5000
8 Cl 0.5000 0.5000 0.5000

6.
Entry from Alexandria via LeMat-Bulk: an optimized crystal structure of CrTc2Cl (PBE).

- uncorrected formation energy (eV per atom) = 0.82
- E above lowest polymorph (meV/atom) = 483

Cell: 6.0815 6.0815 6.0815 Å, 90.00 90.00 90.00°
Sites, in units of the cell vectors:
1 Cr 0.0000 0.0000 0.0000
2 Cr 0.0000 0.5000 0.5000
3 Cr 0.5000 0.0000 0.5000
4 Cr 0.5000 0.5000 0.0000
5 Tc 0.2500 0.2500 0.2500
6 Tc 0.2500 0.2500 0.7500
7 Tc 0.2500 0.7500 0.2500
8 Tc 0.2500 0.7500 0.7500
9 Tc 0.7500 0.2500 0.2500
10 Tc 0.7500 0.2500 0.7500
11 Tc 0.7500 0.7500 0.2500
12 Tc 0.7500 0.7500 0.7500
13 Cl 0.0000 0.0000 0.5000
14 Cl 0.0000 0.5000 0.0000
15 Cl 0.5000 0.0000 0.0000
16 Cl 0.5000 0.5000 0.5000

7.
Entry from Alexandria via LeMat-Bulk: an optimized crystal structure of Cr2TcCl (PBE).

- uncorrected formation energy (eV per atom) = 0.51
- E above lowest polymorph (meV/atom) = 344

Cell: 10.0467 2.8911 4.0583 Å, 90.00 90.61 90.00°
Sites, in units of the cell vectors:
1 Cr 0.0000 0.0000 0.0000
2 Cr 0.1950 0.5000 0.2545
3 Cr 0.5000 0.5000 0.0000
4 Cr 0.6950 0.0000 0.2545
5 Tc 0.2747 0.0000 0.8323
6 Tc 0.7747 0.5000 0.8323
7 Cl 0.4848 0.0000 0.5073
8 Cl 0.9848 0.5000 0.5073

8.
Entry from Alexandria via LeMat-Bulk: an optimized crystal structure of CrTc2Cl (PBE).

- uncorrected formation energy (eV per atom) = 0.33
- E above lowest polymorph (meV/atom) = 0

Cell: 2.8276 2.8276 24.6000 Å, 90.00 90.00 120.00°
Sites, in units of the cell vectors:
1 Cr 0.0000 0.0000 0.0000
2 Cr 0.3333 0.6667 0.6667
3 Cr 0.6667 0.3333 0.3333
4 Tc 0.0000 0.0000 0.2528
5 Tc 0.0000 0.0000 0.7472
6 Tc 0.3333 0.6667 0.4139
7 Tc 0.3333 0.6667 0.9195
8 Tc 0.6667 0.3333 0.0805
9 Tc 0.6667 0.3333 0.5861
10 Cl 0.0000 0.0000 0.5000
11 Cl 0.3333 0.6667 0.1667
12 Cl 0.6667 0.3333 0.8333

9.
Entry from Alexandria via LeMat-Bulk: an optimized crystal structure of CrTcCl4 (PBE).

- uncorrected formation energy (eV per atom) = 1.09

Cell: 5.8134 5.8134 5.8134 Å, 60.00 60.00 60.00°
Sites, in units of the cell vectors:
1 Cr 0.0000 0.0000 0.0000
2 Tc 0.7500 0.7500 0.7500
3 Cl 0.3750 0.3750 0.3750
4 Cl 0.3750 0.3750 0.8749
5 Cl 0.3750 0.8749 0.3750
6 Cl 0.8749 0.3750 0.3750

10.
Entry from Alexandria via LeMat-Bulk: an optimized crystal structure of Cr2TcCl (PBE).

- uncorrected formation energy (eV per atom) = 0.54
- E above lowest polymorph (meV/atom) = 371

Cell: 3.0451 3.5857 5.8419 Å, 90.00 90.00 90.00°
Sites, in units of the cell vectors:
1 Cr 0.0000 0.0000 0.1717
2 Cr 0.0000 0.0000 0.8283
3 Tc 0.5000 0.5000 0.0000
4 Cl 0.5000 0.5000 0.5000

11.
Entry from Alexandria via LeMat-Bulk: an optimized crystal structure of Cr2TcCl (PBE).

- uncorrected formation energy (eV per atom) = 0.60
- E above lowest polymorph (meV/atom) = 432

Cell: 2.8383 4.2713 8.8420 Å, 90.00 90.00 90.00°
Sites, in units of the cell vectors:
1 Cr 0.0000 0.0000 0.0000
2 Cr 0.0000 0.5000 0.2277
3 Cr 0.5000 0.0000 0.7277
4 Cr 0.5000 0.5000 0.5000
5 Tc 0.0000 0.5000 0.7719
6 Tc 0.5000 0.0000 0.2719
7 Cl 0.0000 0.0000 0.5057
8 Cl 0.5000 0.5000 0.0057

12.
Entry from Alexandria via LeMat-Bulk: an optimized crystal structure of CrTc2Cl (PBE).

- uncorrected formation energy (eV per atom) = 0.87
- E above lowest polymorph (meV/atom) = 534

Cell: 3.5572 3.5572 10.0139 Å, 90.00 90.00 90.00°
Sites, in units of the cell vectors:
1 Cr 0.0000 0.0000 0.0000
2 Cr 0.5000 0.5000 0.5000
3 Tc 0.0000 0.5000 0.2500
4 Tc 0.0000 0.5000 0.7500
5 Tc 0.5000 0.0000 0.2500
6 Tc 0.5000 0.0000 0.7500
7 Cl 0.0000 0.0000 0.5000
8 Cl 0.5000 0.5000 0.0000

13.
Entry from Alexandria via LeMat-Bulk: an optimized crystal structure of Cr3TcCl (PBE).

- uncorrected formation energy (eV per atom) = 1.19
- E above lowest polymorph (meV/atom) = 183

Cell: 4.7764 4.7764 4.7764 Å, 90.00 90.00 90.00°
Sites, in units of the cell vectors:
1 Cr 0.0000 0.0000 0.5000
2 Cr 0.0000 0.5000 0.0000
3 Cr 0.5000 0.0000 0.0000
4 Tc 0.0000 0.0000 0.0000
5 Cl 0.5000 0.5000 0.5000

14.
Entry from Alexandria via LeMat-Bulk: an optimized crystal structure of CrTc2Cl (PBE).

- uncorrected formation energy (eV per atom) = 0.35
- E above lowest polymorph (meV/atom) = 17

Cell: 2.9188 2.9188 6.6745 Å, 90.00 90.00 90.00°
Sites, in units of the cell vectors:
1 Cr 0.0000 0.0000 0.0000
2 Tc 0.5000 0.5000 0.2218
3 Tc 0.5000 0.5000 0.7782
4 Cl 0.0000 0.0000 0.5000

15.
Entry from Alexandria via LeMat-Bulk: an optimized crystal structure of Cr4TcCl (PBE).

- uncorrected formation energy (eV per atom) = 0.81

Cell: 4.8261 4.8261 4.8261 Å, 60.00 60.00 60.00°
Sites, in units of the cell vectors:
1 Cr 0.1254 0.1254 0.1254
2 Cr 0.1254 0.1254 0.6236
3 Cr 0.1254 0.6236 0.1254
4 Cr 0.6236 0.1254 0.1254
5 Tc 0.7500 0.7500 0.7500
6 Cl 0.5000 0.5000 0.5000